A plane-wave DFT calculation with PBE-GGA was carried out for an optimized crystal structure of LaSn3W.

The structure in POSCAR format:
```
LaSn3W
1.0
-3.4615 -1.5436 -3.6571
3.7207 -2.9524 -2.2755
-1.3832 -4.0791 3.0309
Sn W La
3 1 1
Cartesian
1.8603 -1.4762 -1.1378
-0.6916 -2.0395 1.5155
-1.7307 -0.7718 -1.8285
0.0000 0.0000 0.0000
-0.5620 -4.2875 -1.4508
```

Calculated values
N(E_F): 3.52 states/eV/f.u.
energy above the most stable polymorph in this dataset: 0.0 meV per atom

---

A plane-wave DFT calculation with PBE-GGA was carried out for an optimized crystal structure of La3SnW.

The structure in POSCAR format:
```
La3SnW
1.0
5.5106 0.0000 0.0000
0.0000 5.5106 0.0000
0.0000 0.0000 5.5106
Sn W La
1 1 3
Cartesian
2.7553 2.7553 2.7553
0.0000 0.0000 0.0000
0.0000 2.7553 0.0000
0.0000 0.0000 2.7553
2.7553 0.0000 0.0000
```

Calculated values
N(E_F): 2.66 states/eV/f.u.
total DFT energy (no corrections): -6.2180 eV per atom

---

A plane-wave DFT calculation with PBE-GGA was carried out for an optimized crystal structure of LaSn2W.

The structure in POSCAR format:
```
LaSn2W
1.0
5.0008 0.0000 0.0000
0.0000 5.0008 0.0000
2.5004 2.5004 9.4938
Sn W La
4 2 2
Cartesian
4.3310 1.2502 2.3735
0.6698 3.7506 2.3735
3.7506 3.1702 7.1204
6.2510 6.8314 7.1204
0.0000 0.0000 0.0000
5.0008 2.5004 4.7469
2.5004 2.5004 0.0000
2.5004 5.0008 4.7469
```

Calculated values
N(E_F): 4.68 states/eV/f.u.
total DFT energy (no corrections): -5.9361 eV per atom

---

A plane-wave DFT calculation with PBE-GGA was carried out for an optimized crystal structure of LaY3Sn3.

The structure in POSCAR format:
```
LaY3Sn3
1.0
-0.6195 4.5463 2.9147
-9.0540 -1.9166 1.0653
6.1886 -3.1409 6.2144
La Y Sn
2 6 6
Cartesian
-4.1280 -1.1881 3.5103
0.6432 0.6769 6.6840
-2.3480 -2.7115 6.2648
-2.3155 0.6720 0.9942
-7.7205 -1.5249 3.2721
-1.1369 2.2003 3.9296
-1.1693 -1.1832 9.2002
4.2356 1.0137 6.9223
-2.7109 0.4706 6.2931
-4.0558 2.3249 3.1148
-6.5465 0.4596 5.4951
-0.7740 -0.9818 3.9013
0.5709 -2.8361 7.0795
3.0616 -0.9708 4.6993
```

Calculated values
N(E_F): 7.43 states/eV/f.u.
total DFT energy (no corrections): -5.7759 eV per atom

---

A plane-wave DFT calculation with PBE-GGA was carried out for an optimized crystal structure of La3YSn2.

The structure in POSCAR format:
```
La3YSn2
1.0
-6.3021 -2.1597 0.8456
1.4152 -1.6607 6.3057
0.0359 9.9791 -0.9102
La Y Sn
6 2 4
Cartesian
-1.7523 1.4719 4.3113
-3.0988 4.6867 1.9298
0.6941 4.9136 4.6687
-5.5451 1.2450 1.5724
-2.0897 -2.3254 5.1520
-2.7973 -1.4951 1.9992
0.3538 -0.4152 1.5764
1.0614 -1.2456 4.7292
-2.1518 1.6441 0.9159
-2.6992 4.5145 5.3251
-0.1189 6.4716 1.7311
-4.7321 -0.3130 4.5099
```

Calculated values
N(E_F): 8.50 states/eV/f.u.
total DFT energy (no corrections): -5.4806 eV per atom

---

A plane-wave DFT calculation with PBE-GGA was carried out for an optimized crystal structure of LaY5Sn6.

The structure in POSCAR format:
```
LaY5Sn6
1.0
8.3826 0.5122 0.0000
2.8591 5.5097 0.0000
1.4296 2.7549 7.7500
La Y Sn
1 5 6
Cartesian
0.0000 0.0000 0.0000
5.6209 3.0109 5.3676
1.4296 2.7549 2.7128
5.6209 3.0109 0.0000
2.8591 5.5097 5.0372
7.0504 5.7658 2.3824
6.9119 1.9220 2.6586
4.3299 4.0999 2.6586
2.7452 1.7045 0.0000
8.4966 4.3173 0.0000
8.3414 4.6769 5.0914
5.7594 6.8547 5.0914
```

Calculated values
N(E_F): 8.51 states/eV/f.u.
total DFT energy (no corrections): -5.7594 eV per atom

---

Which value of N(E_F) does entry 5 give?
8.50 states/eV/f.u.